The following is a DFT calculation (PBE) of an optimized crystal structure of Ba3UCu2Se6.

```
Ba3UCu2Se6
1.0
-5.230 -5.689 -0.014
7.479 -1.630 1.059
-0.968 0.870 8.176
Ba U Cu Se
3 1 2 6
direct
0.333 0.667 0.614
0.667 0.333 0.386
0.000 0.000 0.000
0.000 0.000 0.500
0.667 0.333 0.774
0.333 0.667 0.226
0.670 0.835 0.293
0.165 0.330 0.293
0.165 0.835 0.293
0.835 0.670 0.707
0.330 0.165 0.707
0.835 0.165 0.707
```

Properties
Space-group type: P-3m1, No. 164
Formation energy (no corrections) (kJ/mol of formula units): -1353
Calculated total energy (eV per atom): -5.01


The following is a DFT calculation (PBE) of an optimized crystal structure of BaUCuSe6.

```
BaUCuSe6
1.0
-0.436 3.434 -6.421
4.932 -3.673 -2.300
-6.204 -2.042 -0.671
Ba U Cu Se
1 1 1 6
direct
0.000 0.333 0.667
0.500 0.667 0.333
0.500 0.000 0.000
0.738 0.756 0.680
0.738 0.320 0.076
0.738 0.924 0.244
0.262 0.320 0.244
0.262 0.756 0.076
0.262 0.924 0.680
```

Properties
Space-group type: P312, No. 149
Formation energy (no corrections) (kJ/mol of formula units): -631
Calculated total energy (eV per atom): -4.97


The following is a DFT calculation (PBE) of an optimized crystal structure of Ba2UCu4Se6.

```
Ba2UCu4Se6
1.0
-8.587 4.853 0.785
-0.671 -0.003 -7.324
-4.445 -7.485 -2.352
Ba U Cu Se
4 2 8 12
direct
0.266 0.483 0.125
0.766 0.517 0.375
0.734 0.517 0.875
0.234 0.483 0.625
0.000 0.000 0.000
0.500 0.000 0.500
0.000 0.996 0.360
0.500 0.004 0.140
0.000 0.004 0.640
0.500 0.996 0.860
0.253 0.934 0.267
0.753 0.066 0.233
0.747 0.066 0.733
0.247 0.934 0.767
0.718 0.891 0.028
0.218 0.109 0.472
0.282 0.109 0.972
0.782 0.891 0.528
0.448 0.716 0.351
0.948 0.284 0.149
0.552 0.284 0.649
0.052 0.716 0.851
0.062 0.712 0.289
0.562 0.288 0.211
0.938 0.288 0.711
0.438 0.712 0.789
```

Properties
Space-group type: P2_1/c, No. 14
Formation energy (no corrections) (kJ/mol of formula units): -1264
Calculated total energy (eV per atom): -5.04


The following is a DFT calculation (PBE) of an optimized crystal structure of BaUCuSe5.

```
BaUCuSe5
1.0
-3.824 -3.394 5.199
0.149 -4.127 -6.010
9.626 -1.206 3.492
Ba U Cu Se
2 2 2 10
direct
0.335 0.665 0.250
0.665 0.335 0.750
0.000 0.000 0.500
0.000 0.000 0.000
0.676 0.324 0.250
0.324 0.676 0.750
0.063 0.937 0.250
0.937 0.063 0.750
0.874 0.298 0.088
0.126 0.702 0.912
0.702 0.126 0.412
0.298 0.874 0.588
0.733 0.618 0.435
0.267 0.382 0.565
0.382 0.267 0.065
0.618 0.733 0.935
```

Properties
Space-group type: C2/c, No. 15
Formation energy (no corrections) (kJ/mol of formula units): -721
Calculated total energy (eV per atom): -5.28


The following is a DFT calculation (PBE) of an optimized crystal structure of Ba2UCuSe6.

```
Ba2UCuSe6
1.0
7.361 0.000 0.035
0.000 7.557 0.000
0.118 0.000 10.209
Ba U Cu Se
4 2 2 12
direct
0.015 0.941 0.254
0.515 0.559 0.754
0.985 0.059 0.746
0.485 0.441 0.246
0.500 0.000 0.500
0.000 0.500 0.000
0.500 0.000 0.000
0.000 0.500 0.500
0.289 0.711 0.034
0.789 0.789 0.534
0.711 0.289 0.966
0.211 0.211 0.466
0.289 0.710 0.469
0.789 0.790 0.969
0.711 0.290 0.531
0.211 0.210 0.031
0.936 0.501 0.260
0.436 0.999 0.760
0.064 0.499 0.740
0.564 0.001 0.240
```

Properties
Space-group type: P2_1/c, No. 14
Formation energy (no corrections) (kJ/mol of formula units): -1152
Calculated total energy (eV per atom): -5.21


The following is a DFT calculation (PBE) of an optimized crystal structure of Ba2UCu2Se5.

```
Ba2UCu2Se5
1.0
7.430 0.006 -0.019
6.209 4.081 -0.019
4.094 1.227 8.813
Ba U Cu Se
2 1 2 5
direct
0.175 0.175 0.300
0.825 0.825 0.700
0.000 0.000 0.000
0.552 0.552 0.709
0.448 0.448 0.291
0.147 0.147 0.693
0.853 0.853 0.307
0.385 0.385 0.938
0.615 0.615 0.062
0.500 0.500 0.500
```

Properties
Space-group type: C2/m, No. 12
Formation energy (no corrections) (kJ/mol of formula units): -1228
Calculated total energy (eV per atom): -5.35


The following is a DFT calculation (PBE) of an optimized crystal structure of BaU4Cu3Se12.

```
BaU4Cu3Se12
1.0
8.854 0.000 0.000
-2.951 8.347 0.000
-2.951 -4.174 7.229
Ba U Cu Se
1 4 3 12
direct
0.000 0.000 0.000
0.500 0.000 0.000
0.500 0.500 0.500
0.000 0.500 0.000
0.000 0.000 0.500
0.000 0.500 0.500
0.500 0.500 0.000
0.500 0.000 0.500
0.316 0.834 0.150
0.684 0.166 0.850
0.684 0.834 0.519
0.850 0.684 0.166
0.834 0.150 0.316
0.166 0.481 0.316
0.481 0.316 0.166
0.166 0.850 0.684
0.316 0.166 0.481
0.150 0.316 0.834
0.834 0.519 0.684
0.519 0.684 0.834
```

Properties
Space-group type: Im-3, No. 204
Formation energy (no corrections) (kJ/mol of formula units): -1643
Calculated total energy (eV per atom): -5.91


The following is a DFT calculation (PBE) of an optimized crystal structure of Ba3U2CuSe9.

```
Ba3U2CuSe9
1.0
7.473 0.000 0.000
-3.737 6.472 0.000
0.000 0.000 9.256
Ba U Cu Se
3 2 1 9
direct
0.333 0.667 0.649
0.000 0.000 0.000
0.667 0.333 0.351
0.333 0.667 0.182
0.667 0.333 0.818
0.000 0.000 0.500
0.838 0.162 0.662
0.838 0.676 0.662
0.324 0.162 0.662
0.676 0.838 0.338
0.162 0.324 0.338
0.162 0.838 0.338
0.500 0.000 0.000
0.000 0.500 0.000
0.500 0.500 0.000
```

Properties
Space-group type: P-3m1, No. 164
Formation energy (no corrections) (kJ/mol of formula units): -1892
Calculated total energy (eV per atom): -5.56


The following is a DFT calculation (PBE) of an optimized crystal structure of BaU2Cu2Se6.

```
BaU2Cu2Se6
1.0
-3.739 5.991 -2.530
-5.644 -0.903 -5.342
-1.613 1.966 7.502
Ba U Cu Se
1 2 2 6
direct
0.500 0.000 0.500
0.832 0.338 0.833
0.168 0.662 0.167
0.188 0.767 0.832
0.812 0.233 0.168
0.407 0.798 0.054
0.960 0.453 0.198
0.207 0.836 0.578
0.040 0.547 0.802
0.793 0.164 0.422
0.593 0.202 0.946
```

Properties
Space-group type: P-1, No. 2
Formation energy (no corrections) (kJ/mol of formula units): -1054
Calculated total energy (eV per atom): -5.87


The following is a DFT calculation (PBE) of an optimized crystal structure of BaYCuSe3.

```
BaYCuSe3
1.0
4.190 -0.001 0.000
-2.097 7.067 0.000
0.000 0.000 10.701
Y Cu Ba Se
2 2 2 6
direct
0.000 0.000 0.000
0.000 0.000 0.500
0.465 0.937 0.250
0.535 0.063 0.750
0.747 0.496 0.250
0.253 0.504 0.750
0.634 0.267 0.562
0.366 0.733 0.438
0.366 0.733 0.062
0.932 0.861 0.750
0.068 0.139 0.250
0.634 0.267 0.938
```

Properties
Space-group type: P2_1/m, No. 11
Formation energy (no corrections) (kJ/mol of formula units): -920
Calculated total energy (eV per atom): -5.41


The following is a DFT calculation (PBE) of an optimized crystal structure of BaYCu2Se4.

```
BaYCu2Se4
1.0
6.993 0.000 0.000
3.497 5.545 0.357
3.497 0.810 5.497
Ba Y Cu Se
1 1 2 4
direct
0.000 0.000 0.000
0.500 0.500 0.500
0.250 0.250 0.250
0.750 0.750 0.750
0.486 0.079 0.514
0.079 0.921 0.486
0.921 0.514 0.079
0.514 0.486 0.921
```

Properties
Space-group type: I-42m, No. 121
Formation energy (no corrections) (kJ/mol of formula units): -792
Calculated total energy (eV per atom): -4.84


The following is a DFT calculation (PBE) of an optimized crystal structure of BaZrCuSe4.

```
BaZrCuSe4
1.0
6.876 0.000 -0.054
0.000 5.932 0.000
-2.770 0.000 8.513
Ba Zr Cu Se
2 2 2 8
direct
0.762 0.750 0.945
0.238 0.250 0.055
0.726 0.750 0.441
0.274 0.250 0.559
0.259 0.750 0.322
0.741 0.250 0.678
0.021 0.512 0.698
0.979 0.012 0.302
0.979 0.488 0.302
0.021 0.988 0.698
0.447 0.750 0.144
0.553 0.250 0.856
0.444 0.750 0.596
0.556 0.250 0.404
```

Properties
Space-group type: P2_1/m, No. 11
Formation energy (no corrections) (kJ/mol of formula units): -766
Calculated total energy (eV per atom): -5.21


The following is a DFT calculation (PBE) of an optimized crystal structure of Ba2ZrCuSe5.

```
Ba2ZrCuSe5
1.0
-0.319 -1.605 3.790
-6.146 -5.425 -5.064
9.684 -8.409 -2.746
Ba Zr Cu Se
4 2 2 10
direct
0.877 0.755 0.826
0.121 0.242 0.694
0.123 0.245 0.326
0.879 0.758 0.194
0.804 0.607 0.517
0.196 0.393 0.017
0.569 0.138 0.936
0.431 0.862 0.436
0.339 0.678 0.011
0.696 0.393 0.875
0.504 0.007 0.779
0.299 0.598 0.656
0.949 0.897 0.531
0.661 0.322 0.511
0.304 0.607 0.375
0.496 0.993 0.279
0.701 0.402 0.156
0.051 0.103 0.031
```

Properties
Space-group type: Cmc2_1, No. 36
Formation energy (no corrections) (kJ/mol of formula units): -1186
Calculated total energy (eV per atom): -5.13


The following is a DFT calculation (PBE) of an optimized crystal structure of BaCu2Si.

```
BaCu2Si
1.0
-0.853 2.490 1.981
-2.509 0.584 -2.053
-4.242 -4.548 3.889
Ba Cu Si
1 2 1
direct
0.500 0.500 0.750
0.000 0.000 0.083
0.000 0.000 0.417
0.500 0.500 0.250
```

Properties
Space-group type: Cmmm, No. 65
Formation energy (no corrections) (kJ/mol of formula units): 95
Calculated total energy (eV per atom): -3.64


The following is a DFT calculation (PBE) of an optimized crystal structure of BaCuSi4.

```
BaCuSi4
1.0
0.000 3.880 3.880
3.880 0.000 3.880
3.880 3.880 0.000
Ba Cu Si
1 1 4
direct
0.750 0.750 0.750
0.000 0.000 0.000
0.890 0.370 0.370
0.370 0.370 0.890
0.370 0.890 0.370
0.370 0.370 0.370
```

Properties
Space-group type: F-43m, No. 216
Formation energy (no corrections) (kJ/mol of formula units): 194
Calculated total energy (eV per atom): -4.28


The following is a DFT calculation (PBE) of an optimized crystal structure of BaCu8Si6.

```
BaCu8Si6
1.0
-6.208 1.083 0.067
-2.508 -5.781 0.085
-1.582 -0.836 6.042
Ba Cu Si
1 8 6
direct
0.000 0.000 0.000
0.226 0.511 0.873
0.127 0.774 0.489
0.489 0.127 0.774
0.772 0.772 0.772
0.228 0.228 0.228
0.511 0.873 0.226
0.873 0.226 0.511
0.774 0.489 0.127
0.193 0.357 0.571
0.429 0.807 0.643
0.643 0.429 0.807
0.357 0.571 0.193
0.571 0.193 0.357
0.807 0.643 0.429
```

Properties
Space-group type: R-3, No. 148
Formation energy (no corrections) (kJ/mol of formula units): 61
Calculated total energy (eV per atom): -4.44


The following is a DFT calculation (PBE) of an optimized crystal structure of Ba3CuSi.

```
Ba3CuSi
1.0
-3.889 -5.047 0.190
2.106 -1.402 5.850
-4.590 3.632 2.523
Si Ba Cu
1 3 1
direct
0.000 0.000 0.000
0.000 0.500 0.000
0.000 0.000 0.500
0.500 0.000 0.000
0.500 0.500 0.500
```

Properties
Space-group type: Pm-3m, No. 221
Formation energy (no corrections) (kJ/mol of formula units): 105
Calculated total energy (eV per atom): -2.84
Energy above the lowest structure with this stoichiometry (meV/atom): 0


The following is a DFT calculation (PBE) of an optimized crystal structure of BaCu2Si2.

```
BaCu2Si2
1.0
-1.334 -1.217 -7.832
1.379 -7.857 0.986
-2.861 -0.433 0.554
Si Ba Cu
4 2 4
direct
0.144 0.644 0.500
0.644 0.856 0.500
0.856 0.356 0.500
0.356 0.144 0.500
0.000 0.000 0.000
0.500 0.500 0.000
0.386 0.886 0.000
0.886 0.614 0.000
0.614 0.114 0.000
0.114 0.386 0.000
```

Properties
Space-group type: P4/mbm, No. 127
Formation energy (no corrections) (kJ/mol of formula units): 90
Calculated total energy (eV per atom): -4.01


The following is a DFT calculation (PBE) of an optimized crystal structure of Ba3Cu4Si2.

```
Ba3Cu4Si2
1.0
-4.005 -0.503 -1.282
0.400 -0.938 6.117
-1.104 9.080 -0.118
Ba Cu Si
3 4 2
direct
0.388 0.776 0.614
0.000 0.000 0.000
0.612 0.224 0.386
0.735 0.470 0.064
0.124 0.247 0.694
0.876 0.753 0.306
0.265 0.530 0.936
0.305 0.611 0.208
0.695 0.389 0.792
```

Properties
Space-group type: C2/m, No. 12
Formation energy (no corrections) (kJ/mol of formula units): -171
Calculated total energy (eV per atom): -3.86